[1]
! Sm7CuI12, optimized geometry, DFT PBE-GGA; values from VASP
! - Formation energy (no corrections): -1.181 eV per atom
! - Spin magnetization: 0.00 μB/cell
! - Crystal system: trigonal
&SYSTEM
  ibrav = 0, nat = 20, ntyp = 3
/
ATOMIC_SPECIES
Sm 150.36 Sm.upf
Cu 63.55 Cu.upf
I 126.90 I.upf
CELL_PARAMETERS angstrom
9.433 -0.214 -2.879
-3.830 8.623 -2.879
-0.142 -0.214 9.861
ATOMIC_POSITIONS crystal
Sm 0.964 0.689 0.893
Sm 0.311 0.107 0.036
Sm 0.107 0.036 0.311
Sm 0.500 0.500 0.500
Sm 0.893 0.964 0.689
Sm 0.689 0.893 0.964
Sm 0.036 0.311 0.107
Cu 0.000 0.000 0.000
I 0.923 0.316 0.773
I 0.684 0.227 0.077
I 0.475 0.155 0.393
I 0.845 0.607 0.525
I 0.227 0.077 0.684
I 0.607 0.525 0.845
I 0.393 0.475 0.155
I 0.773 0.923 0.316
I 0.155 0.393 0.475
I 0.525 0.845 0.607
I 0.316 0.773 0.923
I 0.077 0.684 0.227

[2]
! BaSeCl2, optimized geometry, DFT PBE-GGA; values from VASP
! - Formation energy (no corrections): -1.262 eV per atom
! - Energy above the lowest structure with this stoichiometry: 0.294 eV per atom
! - Spin magnetization: 0.00 μB/cell
! - Crystal system: trigonal
&SYSTEM
  ibrav = 0, nat = 4, ntyp = 3
/
ATOMIC_SPECIES
Ba 137.33 Ba.upf
Se 78.96 Se.upf
Cl 35.45 Cl.upf
CELL_PARAMETERS angstrom
-6.119 -2.294 -0.805
-2.733 -5.497 -2.382
-3.564 -4.970 2.439
ATOMIC_POSITIONS crystal
Ba 0.746 0.746 0.746
Se 0.536 0.536 0.536
Cl 0.013 0.013 0.013
Cl 0.204 0.204 0.204

[3]
! CuWBr2, optimized geometry, DFT PBE-GGA; values from VASP
! - Formation energy (no corrections): 1.160 eV per atom
! - Energy above the lowest structure with this stoichiometry: 0.889 eV per atom
! - Spin magnetization: 4.02 μB/cell
! - Crystal system: tetragonal
&SYSTEM
  ibrav = 0, nat = 4, ntyp = 3
/
ATOMIC_SPECIES
Br 79.90 Br.upf
Cu 63.55 Cu.upf
W 183.84 W.upf
CELL_PARAMETERS angstrom
-4.077 0.608 -5.443
-4.059 -4.338 -3.366
2.025 2.532 6.009
ATOMIC_POSITIONS crystal
Br 0.000 0.000 0.000
Br 0.250 0.750 0.500
Cu 0.500 0.500 0.000
W 0.750 0.250 0.500